Record 1
Entry from Alexandria via LeMat-Bulk: crystalline Ca2ZnOs at its relaxed geometry (PBE-GGA).

E_form ... 0.29 eV per atom
Size of the total moment ... 0.000 μB per cell

abc: 3.4566 3.4566 7.4820
angles: 90.00 90.00 90.00
Closest atoms and distances in Å follow each position.
Space group P4/mmm (No. 123)
Unique sites:
Ca: 0.0000 0.0000 0.2230 x2  4 Os 2.96, 4 Zn 3.20
Zn: 0.5000 0.5000 0.5000 x1  8 Ca 3.20, 4 Zn 3.46
Os: 0.5000 0.5000 0.0000 x1  8 Ca 2.96

---

Record 2
Entry from Alexandria via LeMat-Bulk: crystalline Tb5Pd12Pt3 at its relaxed geometry (PBE-GGA).

E_form ... -0.12 eV per atom
Size of the total moment ... 0.000 μB per cell

abc: 15.4736 15.4736 15.4736
angles: 90.00 90.00 90.00
Closest atoms and distances in Å follow each position.
Space group Ia-3d (No. 230)
Unique sites:
Tb: 0.0000 0.0000 0.0000 x16  6 Pd 2.68
Tb: 0.0000 0.2500 0.3750 x24  4 Pd 2.67
Pd: 0.0052 0.0793 0.6540 x96  1 Pd 2.63, 2 Tb 2.67-2.68, 2 Pt 2.68-2.79
Pt: 0.0000 0.2500 0.1250 x24  8 Pd 2.68-2.79